Below is a geometry-optimized TiCd2Pd structure, with properties calculated at the PBE level.

Energy of formation   -0.59 eV per formula unit
M_tot   0.31 μB/atom
Space-group type   P4/mmm
Calculated volume   73.3 Å³/cell
Crystal system   tetragonal

Structure (POSCAR):
```
TiCd2Pd
1.0
3.006 0.000 0.000
0.000 3.006 0.000
0.000 0.000 8.112
Ti Pd Cd
1 1 2
Direct
0.500 0.500 0.500
0.500 0.500 0.000
0.000 0.000 0.765
0.000 0.000 0.235
```